(a)
First-principles (PBE-GGA) data for crystalline Rb2AlC at its relaxed geometry, as listed in the Alexandria database.

Values from the calculation:
Symmetry: I-42d

Cell: 13.1571 13.1571 9.4906 Å, 46.12 46.12 90.00°
Fractional positions:
C: 0.5000 0.5000 0.0000
C: 0.2500 0.7500 0.5000
Al: 0.0000 0.0000 0.0000
Al: 0.7500 0.2500 0.5000
Rb: 0.4160 0.1250 0.2500
Rb: 0.3340 0.6250 0.2500
Rb: 0.3750 0.5840 0.7500
Rb: 0.8750 0.6660 0.7500

(b)
First-principles (PBE-GGA) data for crystalline Rb2AlC at its relaxed geometry, as listed in the Alexandria database.

Values from the calculation:
Symmetry: Fm-3m

Cell: 5.8000 5.8000 5.8000 Å, 60.00 60.00 60.00°
Last column: magnetic moment on the atom in μB.
Fractional positions:
C: 0.0000 0.0000 0.0000  0.90
Al: 0.5000 0.5000 0.5000  -0.14
Rb: 0.2500 0.2500 0.2500  -0.02
Rb: 0.7500 0.7500 0.7500  -0.02

Stability check: which of them is most stable? (a).

(a)
First-principles (PBE-GGA) data for crystalline RbAlC3 at its relaxed geometry, as listed in the Alexandria database.

Values from the calculation:
Symmetry: Pm-3m

Cell: 4.1833 4.1833 4.1833 Å, 90.00 90.00 90.00°
Fractional positions:
C: 0.0000 0.5000 0.0000
C: 0.0000 0.0000 0.5000
C: 0.5000 0.0000 0.0000
Al: 0.0000 0.0000 0.0000
Rb: 0.5000 0.5000 0.5000

(b)
First-principles (PBE-GGA) data for crystalline RbAlC3 at its relaxed geometry, as listed in the Alexandria database.

Values from the calculation:
Symmetry: Pm-3m

Cell: 4.5030 4.5030 4.5030 Å, 90.00 90.00 90.00°
Last column: magnetic moment on the atom in μB.
Fractional positions:
C: 0.0000 0.5000 0.0000  0.20
C: 0.0000 0.0000 0.5000  0.13
C: 0.5000 0.0000 0.0000  0.15
Al: 0.5000 0.5000 0.5000  0.00
Rb: 0.0000 0.0000 0.0000  0.01

Stability check: which of them is most stable? (a).

(a)
First-principles (PBE-GGA) data for crystalline AlRe2C at its relaxed geometry, as listed in the Alexandria database.

Values from the calculation:
Symmetry: I-42d

Cell: 4.7666 4.7666 6.8961 Å, 69.78 69.78 90.00°
Fractional positions:
Re: 0.4893 0.1250 0.2500
Re: 0.2607 0.6250 0.2500
Re: 0.3750 0.5107 0.7500
Re: 0.8750 0.7393 0.7500
C: 0.5000 0.5000 0.0000
C: 0.2500 0.7500 0.5000
Al: 0.0000 0.0000 0.0000
Al: 0.7500 0.2500 0.5000

(b)
First-principles (PBE-GGA) data for crystalline AlRe2C at its relaxed geometry, as listed in the Alexandria database.

Values from the calculation:
Symmetry: Fm-3m

Cell: 4.1319 4.1319 4.1319 Å, 60.00 60.00 60.00°
Fractional positions:
Re: 0.2500 0.2500 0.2500
Re: 0.7500 0.7500 0.7500
C: 0.0000 0.0000 0.0000
Al: 0.5000 0.5000 0.5000

Stability check: which of them is most stable? (a).